Computed, not measured: crystalline Cs2BeAu4 at its relaxed geometry at the PBE level of DFT.

Calculated values
ρ   8.02 g/cm³
Energy of formation   -65 kJ/mol of formula units
Crystal system   tetragonal

Cell: 4.900 4.900 9.797 Å, 75.52 75.52 90.00°
Positions (direct):
Cs  0.345  0.345  0.310
Au  0.878  0.878  0.244
Au  0.122  0.122  0.756
Cs  0.655  0.655  0.690
Au  0.500  0.000  0.000
Au  0.000  0.500  0.000
Be  0.000  0.000  0.000